Below is a geometry-optimized ScBePd5 structure, with properties calculated at the GGA-PBE level.

Output
crystal system: tetragonal
formation energy: -395 kJ/mol of formula units

a b c (Å): 3.967 3.967 6.781
angles (deg): 90.00 90.00 90.00
Fractional coordinates of all 7 atoms:
Sc 0.000 0.000 0.000
Be 0.500 0.500 0.500
Pd 0.000 0.500 0.298
Pd 0.000 0.500 0.702
Pd 0.500 0.000 0.298
Pd 0.500 0.000 0.702
Pd 0.500 0.500 0.000

***

Below is a geometry-optimized Sc2BePd2 structure, with properties calculated at the GGA-PBE level.

Output
crystal system: tetragonal
formation energy: -162 kJ/mol of formula units
energy above the lowest structure with this stoichiometry: 0.192 eV/atom

a b c (Å): 5.121 5.121 5.121
angles (deg): 119.26 119.26 91.28
Fractional coordinates of all 5 atoms:
Sc 0.250 0.750 0.500
Sc 0.750 0.250 0.500
Be 0.000 0.000 0.000
Pd 0.318 0.318 0.000
Pd 0.682 0.682 0.000

***

Below is a geometry-optimized Sc2BePd structure, with properties calculated at the GGA-PBE level.

Output
crystal system: tetragonal
formation energy: -186 kJ/mol of formula units

a b c (Å): 3.249 3.249 6.454
angles (deg): 90.00 90.00 90.00
Fractional coordinates of all 4 atoms:
Sc 0.000 0.000 0.238
Sc 0.000 0.000 0.762
Be 0.500 0.500 0.000
Pd 0.500 0.500 0.500

***

Below is a geometry-optimized ScBePd2 structure, with properties calculated at the GGA-PBE level.

Output
crystal system: tetragonal
formation energy: -219 kJ/mol of formula units

a b c (Å): 4.256 4.256 3.306
angles (deg): 90.00 90.00 90.00
Fractional coordinates of all 4 atoms:
Sc 0.000 0.000 0.000
Be 0.500 0.500 0.000
Pd 0.000 0.500 0.500
Pd 0.500 0.000 0.500

***

Below is a geometry-optimized ScBePd3 structure, with properties calculated at the GGA-PBE level.

Output
crystal system: cubic
formation energy: -273 kJ/mol of formula units
energy above the lowest structure with this stoichiometry: 0.000 eV/atom

a b c (Å): 4.273 4.273 4.273
angles (deg): 90.00 90.00 90.00
Fractional coordinates of all 5 atoms:
Sc 0.000 0.000 0.000
Be 0.500 0.500 0.500
Pd 0.000 0.500 0.500
Pd 0.500 0.000 0.500
Pd 0.500 0.500 0.000

***

Below is a geometry-optimized ScBePd3 structure, with properties calculated at the GGA-PBE level.

Output
crystal system: cubic
formation energy: 353 kJ/mol of formula units
energy above the lowest structure with this stoichiometry: 1.297 eV/atom

a b c (Å): 4.715 4.715 4.715
angles (deg): 90.00 90.00 90.00
Fractional coordinates of all 5 atoms:
Sc 0.000 0.000 0.000
Be 0.500 0.500 0.500
Pd 0.000 0.000 0.500
Pd 0.000 0.500 0.000
Pd 0.500 0.000 0.000

***

Among the records above, which one has the highest formation energy?
number 6

***

Which value of formation energy does entry 3 give?
-186 kJ/mol of formula units

***

What is the formation energy in the fourth record?
-219 kJ/mol of formula units